[1]
# SrRe2TcNi

A PBEsol-optimized structure of SrRe2TcNi (meta-GGA SCAN, Alexandria via LeMat-Bulk).

Computed properties:
calculated formation energy	1.874	eV per atom
Fermi-level density of states	5.49	states/eV/f.u.

Cell lengths 4.4580, 4.4580, 4.9159 Å; angles 90.00, 90.00, 90.00 degrees
Last column: nearest neighbours and their distance in Å.
Sites, in units of the cell vectors:
Re  0.0000  0.5000  0.0000  2 Ni 2.23
Re  0.5000  0.0000  0.0000  2 Ni 2.23
Ni  0.0000  0.0000  0.0000  4 Re 2.23, 2 Sr 2.46
Tc  0.5000  0.5000  0.5000  4 Sr 3.15, 8 Re 3.32
Sr  0.0000  0.0000  0.5000  2 Ni 2.46

[2]
# BeCr2CuAu

A PBEsol-optimized structure of BeCr2CuAu (meta-GGA SCAN, Alexandria via LeMat-Bulk).

Computed properties:
calculated formation energy	0.947	eV per atom
Fermi-level density of states	3.25	states/eV/f.u.

Cell lengths 4.1762, 4.8864, 4.8864 Å; angles 90.00, 90.00, 90.00 degrees
Last column: nearest neighbours and their distance in Å.
Sites, in units of the cell vectors:
Cr  0.0000  0.0000  0.5000  2 Au 2.44
Cr  0.0000  0.5000  0.0000  2 Au 2.44
Au  0.0000  0.0000  0.0000  2 Be 2.09
Cu  0.5000  0.5000  0.5000  8 Cr 3.21, 4 Be 3.46
Be  0.5000  0.0000  0.0000  2 Au 2.09

[3]
# CoPH3O5

A PBEsol-optimized structure of CoPH3O5 (meta-GGA SCAN, Alexandria via LeMat-Bulk).

Computed properties:
uncorrected energy	-8.544	eV per atom

Cell lengths 7.5636, 9.4123, 9.4123 Å; angles 113.10, 105.54, 105.54 degrees
Last column: nearest neighbours and their distance in Å.
Sites, in units of the cell vectors:
Co  0.1938  0.2837  0.7503  6 O 2.01-2.12
Co  0.9101  0.4666  0.7163  6 O 2.01-2.12
Co  0.4435  0.2497  0.5334  6 O 2.01-2.12
Co  0.8062  0.7163  0.2497  6 O 2.01-2.12
Co  0.0899  0.5334  0.2837  6 O 2.01-2.12
Co  0.5565  0.7503  0.4666  6 O 2.01-2.12
P  0.3305  0.6457  0.0785  4 O 1.53-1.59
P  0.6848  0.4328  0.3543  4 O 1.53-1.59
P  0.2521  0.9215  0.5672  4 O 1.53-1.59
P  0.6695  0.3543  0.9215  4 O 1.53-1.59
P  0.3152  0.5672  0.6457  4 O 1.53-1.59
P  0.7479  0.0785  0.4328  4 O 1.53-1.59
H  0.3884  0.9195  0.2230  1 O 1.06
H  0.4688  0.3035  0.0805  1 O 1.06
H  0.1653  0.7770  0.6965  1 O 1.06
H  0.6116  0.0805  0.7770  1 O 1.06
H  0.5312  0.6965  0.9195  1 O 1.06
H  0.8347  0.2230  0.3035  1 O 1.06
H  0.9437  0.0566  0.7972  1 O 1.01
H  0.8871  0.7406  0.9434  1 O 1.01
H  0.1464  0.2028  0.2594  1 O 1.01
H  0.0563  0.9434  0.2028  1 O 1.01
H  0.1129  0.2594  0.0566  1 O 1.01
H  0.8536  0.7972  0.7406  1 O 1.01
H  0.1563  0.0604  0.8299  1 O 1.01
H  0.0958  0.7695  0.9396  1 O 1.01
H  0.3263  0.1701  0.2305  1 O 1.01
H  0.8437  0.9396  0.1701  1 O 1.01
H  0.9042  0.2305  0.0604  1 O 1.01
H  0.6737  0.8299  0.7695  1 O 1.01
O  0.5367  0.6756  0.0694  1 H 1.49, 1 P 1.54
O  0.8611  0.3939  0.3244  1 H 1.49, 1 P 1.54
O  0.4673  0.9306  0.6061  1 H 1.49, 1 P 1.54
O  0.4633  0.3244  0.9306  1 H 1.49, 1 P 1.54
O  0.1389  0.6061  0.6756  1 H 1.49, 1 P 1.54
O  0.5327  0.0694  0.3939  1 H 1.49, 1 P 1.54
O  0.3309  0.6231  0.2321  1 P 1.54
O  0.7079  0.6090  0.3769  1 P 1.54
O  0.0989  0.7679  0.3910  1 P 1.54
O  0.6691  0.3769  0.7679  1 P 1.54
O  0.2921  0.3910  0.6231  1 P 1.54
O  0.9011  0.2321  0.6090  1 P 1.54
O  0.1569  0.4944  0.9120  1 P 1.53
O  0.6626  0.4177  0.5056  1 P 1.53
O  0.2449  0.0880  0.5823  1 P 1.53
O  0.8431  0.5056  0.0880  1 P 1.53
O  0.3374  0.5823  0.4944  1 P 1.53
O  0.7551  0.9120  0.4177  1 P 1.53
O  0.2914  0.8101  0.1027  1 H 1.06
O  0.4813  0.2926  0.1899  1 H 1.06
O  0.1887  0.8973  0.7074  1 H 1.06
O  0.7086  0.1899  0.8973  1 H 1.06
O  0.5187  0.7074  0.8101  1 H 1.06
O  0.8113  0.1027  0.2926  1 H 1.06
O  0.0897  0.1410  0.8564  2 H 1.01
O  0.9487  0.7154  0.8590  2 H 1.01
O  0.2333  0.1436  0.2846  2 H 1.01
O  0.9103  0.8590  0.1436  2 H 1.01
O  0.0513  0.2846  0.1410  2 H 1.01
O  0.7667  0.8564  0.7154  2 H 1.01